w:
Below is a relaxed structure of Ho3Sc3FeTe2, with properties calculated at the GGA-PBE level.

Cell lengths 7.9213, 7.9213, 3.9671 Å; angles 90.00, 90.00, 120.00 degrees
With the nearest neighbours (Å) after each atom.
Space group P-62m (No. 189)
Unique sites:
Ho 0.0000 0.6126 0.0000 [3 per cell]  1 Fe 3.07, 4 Te 3.16, 4 Sc 3.33
Sc 0.0000 0.2265 0.5000 [3 per cell]  2 Fe 2.67
Fe 0.0000 0.0000 0.0000 [1 per cell]  6 Sc 2.67
Te 0.3333 0.6667 0.5000 [2 per cell]  3 Sc 3.15, 6 Ho 3.16

Output
- Magnetic moment: 0.9 μB/cell

***

x:
Below is a relaxed structure of Ho3Sc3FeTe2, with properties calculated at the GGA-PBE level.

Cell lengths 8.0761, 8.0761, 3.8119 Å; angles 90.00, 90.00, 120.00 degrees
With the nearest neighbours (Å) after each atom.
Space group P-62m (No. 189)
Unique sites:
Ho 0.0000 0.2401 0.0000 [3 per cell]  2 Fe 2.72
Sc 0.0000 0.6082 0.5000 [3 per cell]  4 Te 3.14, 1 Fe 3.16, 4 Ho 3.36
Fe 0.0000 0.0000 0.5000 [1 per cell]  6 Ho 2.72
Te 0.3333 0.6667 0.0000 [2 per cell]  6 Sc 3.14, 3 Ho 3.14

Output
- Magnetic moment: 0.5 μB/cell

***

Tell me which of them is the most stable. Sure, it is w.

***

w:
Below is a relaxed structure of HoTaFe, with properties calculated at the GGA-PBE level.

Cell lengths 6.3997, 6.3997, 6.3997 Å; angles 90.00, 90.00, 90.00 degrees
With the nearest neighbours (Å) after each atom.
Space group F-43m (No. 216)
Unique sites:
Ho 0.0000 0.0000 0.0000 [4 per cell]  4 Fe 2.77, 4 Ta 2.77
Ta 0.2500 0.2500 0.7500 [4 per cell]  4 Ho 2.77
Fe 0.2500 0.2500 0.2500 [4 per cell]  4 Ho 2.77

Output
- Magnetic moment: 3.9 μB/cell

***

x:
Below is a relaxed structure of HoTaFe, with properties calculated at the GGA-PBE level.

Cell lengths 6.2113, 6.2113, 6.2113 Å; angles 90.00, 90.00, 90.00 degrees
With the nearest neighbours (Å) after each atom.
Space group F-43m (No. 216)
Unique sites:
Ho 0.0000 0.0000 0.0000 [4 per cell]  4 Fe 2.69
Ta 0.0000 0.0000 0.5000 [4 per cell]  4 Fe 2.69
Fe 0.2500 0.2500 0.2500 [4 per cell]  4 Ta 2.69, 4 Ho 2.69

Output
- Magnetic moment: 0.0 μB/cell

***

Tell me which of them is the most stable. Sure, it is x.

***

w:
Below is a relaxed structure of Ho3FeTe5, with properties calculated at the GGA-PBE level.

Cell lengths 8.3634, 8.3634, 4.3022 Å; angles 90.00, 90.00, 120.00 degrees
With the nearest neighbours (Å) after each atom.
Space group P-62m (No. 189)
Unique sites:
Ho 0.0000 0.2606 0.0000 [3 per cell]  2 Fe 3.06, 6 Te 3.14-3.18
Fe 0.0000 0.0000 0.5000 [1 per cell]  3 Te 2.48
Te 0.0000 0.7041 0.5000 [3 per cell]  1 Fe 2.48
Te 0.3333 0.6667 0.0000 [2 per cell]  3 Ho 3.14

Output
- Magnetic moment: 3.3 μB/cell

***

x:
Below is a relaxed structure of Ho3FeTe5, with properties calculated at the GGA-PBE level.

Cell lengths 8.5953, 8.5953, 3.7122 Å; angles 90.00, 90.00, 120.00 degrees
With the nearest neighbours (Å) after each atom.
Space group P-62m (No. 189)
Unique sites:
Ho 0.0000 0.6471 0.0000 [3 per cell]  1 Fe 3.03, 8 Te 3.24-3.35
Fe 0.0000 0.0000 0.0000 [1 per cell]  6 Te 2.66
Te 0.0000 0.2210 0.5000 [3 per cell]  2 Fe 2.66
Te 0.3333 0.6667 0.5000 [2 per cell]  6 Ho 3.35, 5 Te 3.45-3.71

Output
- Magnetic moment: 0.7 μB/cell

***

Tell me which of them is the most stable. Sure, it is w.

***

w:
Below is a relaxed structure of Ho3Tm3FeTe2, with properties calculated at the GGA-PBE level.

Cell lengths 8.2245, 8.2245, 3.9585 Å; angles 90.00, 90.00, 120.00 degrees
With the nearest neighbours (Å) after each atom.
Space group P-62m (No. 189)
Unique sites:
Ho 0.0000 0.3916 0.0000 [3 per cell]  4 Te 3.22, 1 Fe 3.22, 4 Tm 3.43
Tm 0.0000 0.7654 0.5000 [3 per cell]  2 Fe 2.76
Fe 0.0000 0.0000 0.0000 [1 per cell]  6 Tm 2.76
Te 0.3333 0.6667 0.5000 [2 per cell]  6 Ho 3.22, 3 Tm 3.22-3.23

Output
- Magnetic moment: 0.4 μB/cell

***

x:
Below is a relaxed structure of Ho3Tm3FeTe2, with properties calculated at the GGA-PBE level.

Cell lengths 8.2210, 8.2210, 3.9421 Å; angles 90.00, 90.00, 120.00 degrees
With the nearest neighbours (Å) after each atom.
Space group P-62m (No. 189)
Unique sites:
Ho 0.0000 0.7643 0.0000 [3 per cell]  2 Fe 2.76
Tm 0.0000 0.3915 0.5000 [3 per cell]  4 Te 3.21, 1 Fe 3.22, 4 Ho 3.43
Fe 0.0000 0.0000 0.5000 [1 per cell]  6 Ho 2.76
Te 0.3333 0.6667 0.0000 [2 per cell]  6 Tm 3.21, 3 Ho 3.22

Output
- Magnetic moment: 0.4 μB/cell

***

Tell me which of them is the most stable. Sure, it is w.

***

w:
Below is a relaxed structure of FeI, with properties calculated at the GGA-PBE level.

Cell lengths 3.5984, 3.5984, 10.1058 Å; angles 90.00, 90.00, 120.00 degrees
With the nearest neighbours (Å) after each atom.
Space group R-3m (No. 166, hexagonal axes)
Unique sites:
Fe 0.0000 0.0000 0.0000 [3 per cell]  6 I 2.67
I 0.0000 0.0000 0.5000 [3 per cell]  6 Fe 2.67

Output
- Magnetic moment: 8.1 μB/cell

***

x:
Below is a relaxed structure of FeI, with properties calculated at the GGA-PBE level.

Cell lengths 3.7611, 3.7611, 3.6449 Å; angles 90.00, 90.00, 120.00 degrees
With the nearest neighbours (Å) after each atom.
Space group P-6m2 (No. 187)
Unique sites:
Fe 0.0000 0.0000 0.0000 [1 per cell]  6 I 2.83
I 0.6667 0.3333 0.5000 [1 per cell]  6 Fe 2.83

Output
- Magnetic moment: 3.2 μB/cell

***

y:
Below is a relaxed structure of FeI, with properties calculated at the GGA-PBE level.

Cell lengths 4.0506, 3.7054, 6.6694 Å; angles 90.00, 90.00, 90.00 degrees
With the nearest neighbours (Å) after each atom.
Space group Pmma (No. 51)
Unique sites:
Fe 0.2500 0.0000 0.0946 [2 per cell]  2 Fe 2.39
I 0.2500 0.5000 0.7555 [2 per cell]  6 Fe 2.92

Output
- Magnetic moment: 6.0 μB/cell

***

Tell me which of them is the most stable. Sure, it is y.

***

w:
Below is a relaxed structure of ScInFeIr, with properties calculated at the GGA-PBE level.

Cell lengths 6.4751, 6.4751, 6.4751 Å; angles 90.00, 90.00, 90.00 degrees
With the nearest neighbours (Å) after each atom.
Space group F-43m (No. 216)
Unique sites:
Sc 0.0000 0.0000 0.0000 [4 per cell]  4 In 2.80, 4 Ir 2.80
In 0.2500 0.2500 0.2500 [4 per cell]  4 Fe 2.80, 4 Sc 2.80
Fe 0.0000 0.0000 0.5000 [4 per cell]  4 Ir 2.80, 4 In 2.80
Ir 0.2500 0.2500 0.7500 [4 per cell]  4 Sc 2.80, 4 Fe 2.80

Output
- Magnetic moment: 13.8 μB/cell

***

x:
Below is a relaxed structure of ScInFeIr, with properties calculated at the GGA-PBE level.

Cell lengths 6.4070, 6.4070, 6.4070 Å; angles 90.00, 90.00, 90.00 degrees
With the nearest neighbours (Å) after each atom.
Space group F-43m (No. 216)
Unique sites:
Sc 0.0000 0.0000 0.0000 [4 per cell]  4 Fe 2.77, 4 Ir 2.77
In 0.0000 0.0000 0.5000 [4 per cell]  4 Ir 2.77, 4 Fe 2.77
Fe 0.2500 0.2500 0.7500 [4 per cell]  4 In 2.77, 4 Sc 2.77
Ir 0.2500 0.2500 0.2500 [4 per cell]  4 In 2.77, 4 Sc 2.77

Output
- Magnetic moment: 6.0 μB/cell

***

Tell me which of them is the most stable. Sure, it is x.

***

w:
Below is a relaxed structure of InFeIrW, with properties calculated at the GGA-PBE level.

Cell lengths 6.3230, 6.3230, 6.3230 Å; angles 90.00, 90.00, 90.00 degrees
With the nearest neighbours (Å) after each atom.
Space group F-43m (No. 216)
Unique sites:
In 0.0000 0.0000 0.0000 [4 per cell]  4 Ir 2.74, 4 Fe 2.74
Fe 0.2500 0.2500 0.2500 [4 per cell]  4 In 2.74, 4 W 2.74
Ir 0.2500 0.2500 0.7500 [4 per cell]  4 In 2.74, 4 W 2.74
W 0.0000 0.0000 0.5000 [4 per cell]  4 Fe 2.74, 4 Ir 2.74

Output
- Magnetic moment: 8.4 μB/cell

***

x:
Below is a relaxed structure of InFeIrW, with properties calculated at the GGA-PBE level.

Cell lengths 6.3180, 6.3180, 6.3180 Å; angles 90.00, 90.00, 90.00 degrees
With the nearest neighbours (Å) after each atom.
Space group F-43m (No. 216)
Unique sites:
In 0.0000 0.0000 0.0000 [4 per cell]  4 W 2.74, 4 Fe 2.74
Fe 0.2500 0.2500 0.2500 [4 per cell]  4 In 2.74, 4 Ir 2.74
Ir 0.0000 0.0000 0.5000 [4 per cell]  4 W 2.74, 4 Fe 2.74
W 0.2500 0.2500 0.7500 [4 per cell]  4 In 2.74, 4 Ir 2.74

Output
- Magnetic moment: 8.8 μB/cell

***

Tell me which of them is the most stable. Sure, it is w.

***

w:
Below is a relaxed structure of LiScInFe, with properties calculated at the GGA-PBE level.

Cell lengths 6.3889, 6.3889, 6.3889 Å; angles 90.00, 90.00, 90.00 degrees
With the nearest neighbours (Å) after each atom.
Space group F-43m (No. 216)
Unique sites:
Li 0.0000 0.0000 0.0000 [4 per cell]  4 In 2.77, 4 Sc 2.77
Sc 0.2500 0.2500 0.2500 [4 per cell]  4 Fe 2.77, 4 Li 2.77
In 0.2500 0.2500 0.7500 [4 per cell]  4 Fe 2.77, 4 Li 2.77
Fe 0.0000 0.0000 0.5000 [4 per cell]  4 In 2.77, 4 Sc 2.77

Output
- Magnetic moment: 6.8 μB/cell

***

x:
Below is a relaxed structure of LiScInFe, with properties calculated at the GGA-PBE level.

Cell lengths 6.5959, 6.5959, 6.5959 Å; angles 90.00, 90.00, 90.00 degrees
With the nearest neighbours (Å) after each atom.
Space group F-43m (No. 216)
Unique sites:
Li 0.0000 0.0000 0.0000 [4 per cell]  4 In 2.86, 4 Fe 2.86
Sc 0.0000 0.0000 0.5000 [4 per cell]  4 In 2.86, 4 Fe 2.86
In 0.2500 0.2500 0.2500 [4 per cell]  4 Li 2.86, 4 Sc 2.86
Fe 0.2500 0.2500 0.7500 [4 per cell]  4 Li 2.86, 4 Sc 2.86

Output
- Magnetic moment: 8.4 μB/cell

***

Tell me which of them is the most stable. Sure, it is w.